No. 1
VASP calculation (GGA-PBE) on a relaxed structure of RbTl4Sb4.

a b c (Å): 10.206 10.206 6.800
angles (deg): 90.00 90.00 90.00
Element x y z (fractional)
Rb: 0.250 0.250 0.250
Rb: 0.750 0.750 0.750
Tl: 0.115 0.617 0.112
Tl: 0.117 0.885 0.612
Tl: 0.383 0.615 0.612
Tl: 0.385 0.883 0.112
Tl: 0.615 0.117 0.888
Tl: 0.617 0.385 0.388
Tl: 0.883 0.115 0.388
Tl: 0.885 0.383 0.888
Sb: 0.070 0.924 0.144
Sb: 0.076 0.570 0.644
Sb: 0.424 0.930 0.644
Sb: 0.430 0.576 0.144
Sb: 0.570 0.424 0.856
Sb: 0.576 0.070 0.356
Sb: 0.924 0.430 0.356
Sb: 0.930 0.076 0.856

Calculated values
Space-group type: No. 86
Energy relative to the elements, uncorrected: -0.029 eV per atom

No. 2
VASP calculation (GGA-PBE) on a relaxed structure of Ca2ReP.

a b c (Å): 7.628 7.628 7.628
angles (deg): 94.91 94.91 145.98
Element x y z (fractional)
Ca: 0.375 0.037 0.162
Ca: 0.787 0.625 0.662
Ca: 0.875 0.213 0.838
Ca: 0.963 0.125 0.338
Re: 0.250 0.750 0.500
Re: 0.500 0.500 0.000
P: 0.000 0.000 0.000
P: 0.750 0.250 0.500

Calculated values
Space-group type: No. 122
Calculated formation energy: 0.125 eV per atom

No. 3
VASP calculation (GGA-PBE) on a relaxed structure of HfTi2CdH.

a b c (Å): 4.198 4.198 4.429
angles (deg): 90.00 90.00 90.00
Element x y z (fractional)
Hf: 0.000 0.000 0.000
Ti: 0.000 0.500 0.500
Ti: 0.500 0.000 0.500
Cd: 0.500 0.500 0.000
H: 0.500 0.500 0.500

Calculated values
Space-group type: No. 123
Energy above the lowest structure with this stoichiometry: 169 meV/atom

No. 4
VASP calculation (GGA-PBE) on a relaxed structure of TcTeIN2.

a b c (Å): 4.026 4.026 5.992
angles (deg): 90.00 90.00 90.00
Element x y z (fractional)
Tc: 0.000 0.000 0.000
Te: 0.500 0.500 0.500
I: 0.000 0.000 0.500
N: 0.000 0.500 0.000
N: 0.500 0.000 0.000

Calculated values
Space-group type: No. 123
Energy above the lowest structure with this stoichiometry: 203 meV/atom
Energy relative to the elements, uncorrected: 1.068 eV per atom

No. 5
VASP calculation (GGA-PBE) on a relaxed structure of KNa2As.

a b c (Å): 6.577 6.577 6.577
angles (deg): 45.57 45.57 45.57
Element x y z (fractional)
K: 0.000 0.000 0.000
Na: 0.189 0.189 0.189
Na: 0.465 0.465 0.465
As: 0.803 0.803 0.803

Calculated values
Space-group type: No. 160
Calculated formation energy: -0.355 eV per atom

No. 6
VASP calculation (GGA-PBE) on a relaxed structure of MnZnAu3.

a b c (Å): 4.725 4.776 7.761
angles (deg): 72.42 89.98 89.99
Element x y z (fractional)
Mn: 0.250 0.107 0.200
Mn: 0.750 0.893 0.800
Zn: 0.250 0.304 0.799
Zn: 0.750 0.696 0.201
Au: 0.250 0.516 0.386
Au: 0.250 0.710 0.998
Au: 0.250 0.905 0.609
Au: 0.750 0.095 0.391
Au: 0.750 0.290 0.002
Au: 0.750 0.484 0.614

Calculated values
Space-group type: No. 2
Energy above the lowest structure with this stoichiometry: 0 meV/atom
Calculated formation energy: -0.130 eV per atom

No. 7
VASP calculation (GGA-PBE) on a relaxed structure of ZrNbNiMo.

a b c (Å): 4.563 4.563 4.563
angles (deg): 60.00 60.00 60.00
Element x y z (fractional)
Zr: 0.000 0.000 0.000
Nb: 0.500 0.500 0.500
Ni: 0.250 0.250 0.250
Mo: 0.750 0.750 0.750

Calculated values
Space-group type: No. 216
Calculated formation energy: -0.113 eV per atom

No. 8
VASP calculation (GGA-PBE) on a relaxed structure of Cs2Te4AsAu.

a b c (Å): 14.951 12.406 9.333
angles (deg): 85.67 55.83 38.49
Element x y z (fractional)
Cs: 0.063 0.063 0.687
Cs: 0.313 0.313 0.937
Cs: 0.687 0.687 0.063
Cs: 0.937 0.937 0.313
Te: 0.037 0.349 0.419
Te: 0.305 0.581 0.651
Te: 0.349 0.037 0.695
Te: 0.419 0.695 0.037
Te: 0.581 0.305 0.963
Te: 0.651 0.963 0.305
Te: 0.695 0.419 0.349
Te: 0.963 0.651 0.581
As: 0.375 0.375 0.375
As: 0.625 0.625 0.625
Au: 0.125 0.125 0.125
Au: 0.875 0.875 0.875

Calculated values
Space-group type: No. 70
Energy relative to the elements, uncorrected: -0.386 eV per atom

No. 9
VASP calculation (GGA-PBE) on a relaxed structure of InBiPb.

a b c (Å): 5.403 5.403 5.403
angles (deg): 60.00 60.00 60.00
Element x y z (fractional)
In: 0.000 0.000 0.000
Bi: 0.750 0.750 0.750
Pb: 0.500 0.500 0.500

Calculated values
Space-group type: No. 216
Energy above the lowest structure with this stoichiometry: 27 meV/atom
Calculated formation energy: 0.048 eV per atom

No. 10
VASP calculation (GGA-PBE) on a relaxed structure of YNiBiPd.

a b c (Å): 4.821 4.821 4.821
angles (deg): 60.00 60.00 60.00
Element x y z (fractional)
Y: 0.000 0.000 0.000
Ni: 0.250 0.250 0.250
Bi: 0.500 0.500 0.500
Pd: 0.750 0.750 0.750

Calculated values
Space-group type: No. 216
Calculated formation energy: -0.485 eV per atom

No. 11
VASP calculation (GGA-PBE) on a relaxed structure of Cs3PmTl2I9.

a b c (Å): 9.069 9.069 11.109
angles (deg): 90.00 90.00 120.00
Element x y z (fractional)
Cs: 0.000 0.000 0.000
Cs: 0.333 0.667 0.670
Cs: 0.667 0.333 0.330
Pm: 0.000 0.000 0.500
Tl: 0.333 0.667 0.154
Tl: 0.667 0.333 0.846
I: 0.000 0.500 0.000
I: 0.162 0.325 0.342
I: 0.162 0.838 0.342
I: 0.325 0.162 0.658
I: 0.500 0.000 0.000
I: 0.500 0.500 0.000
I: 0.675 0.838 0.342
I: 0.838 0.162 0.658
I: 0.838 0.675 0.658

Calculated values
Space-group type: No. 164
Energy relative to the elements, uncorrected: -1.145 eV per atom

No. 12
VASP calculation (GGA-PBE) on a relaxed structure of CeBi2P2Pd7.

a b c (Å): 4.570 4.570 11.517
angles (deg): 92.35 92.35 97.18
Element x y z (fractional)
Ce: 0.000 0.000 0.000
Bi: 0.151 0.151 0.385
Bi: 0.849 0.849 0.615
P: 0.312 0.312 0.815
P: 0.688 0.688 0.185
Pd: 0.170 0.581 0.210
Pd: 0.362 0.362 0.609
Pd: 0.419 0.830 0.790
Pd: 0.500 0.500 0.000
Pd: 0.581 0.170 0.210
Pd: 0.638 0.638 0.391
Pd: 0.830 0.419 0.790

Calculated values
Space-group type: No. 12
Calculated formation energy: -0.489 eV per atom

| no. | magnetic moment (μB per formula unit) | D(E_F) (states/eV per atom) |
| --- | --- | --- |
| 1 | 0.00 | 0.50 |
| 2 | 0.53 | 1.04 |
| 3 | 0.00 | 0.84 |
| 4 | 0.00 | 0.97 |
| 5 | 0.00 | 0.25 |
| 6 | 4.12 | 0.40 |
| 7 | 0.00 | 1.15 |
| 8 | 0.00 | 0.48 |
| 9 | 0.00 | 0.25 |
| 10 | 0.00 | 0.74 |
| 11 | 0.00 | 0.27 |
| 12 | 0.83 | 0.80 |